CrS2Br2 | GGA-PBE | optimized geometry

The total magnetization comes out at 0.40 μB per atom. The density of states at the Fermi level is 1.21 states/eV/cell. As for the volume: 28.4 Å³/atom. The value obtained for the formation energy from raw total energies is -385 meV per atom.

The space group is C2/m (No. 12) and the conventional cell measures 7.4379, 10.8643 and 7.8530 Å, with angles of 90.00, 116.52 and 90.00 degrees. The asymmetric unit holds Cr at (0.0000, 0.1419, 0.0000), S at (0.1030, 0.0000, 0.2601), S at (0.2263, 0.5000, 0.8780) and Br at (0.2203, 0.2971, 0.2171).